## i
SmSc2: relaxed, PBE. Values from VASP.

Output
For the density, the calculation gives 4862 kg/m3. The space group is No. 191. The calculation puts the size of the total moment at 0.000 μB per cell.

Quantum ESPRESSO input file:
```
&SYSTEM
  ibrav = 0, nat = 3, ntyp = 2
/
ATOMIC_SPECIES
Sm 150.36 Sm.upf
Sc 44.96 Sc.upf
CELL_PARAMETERS angstrom
5.366 0.000 0.000
-2.683 4.647 0.000
0.000 0.000 3.290
ATOMIC_POSITIONS angstrom
Sm 0.000 0.000 0.000
Sc 0.000 3.098 1.645
Sc 2.683 1.549 1.645
```

---

## ii
SmSc2: relaxed, PBE. Values from VASP.

Output
For the density, the calculation gives 4455 kg/m3. The space group is No. 227. The calculation puts the size of the total moment at 6.600 μB per cell.

Quantum ESPRESSO input file:
```
&SYSTEM
  ibrav = 0, nat = 6, ntyp = 2
/
ATOMIC_SPECIES
Sm 150.36 Sm.upf
Sc 44.96 Sc.upf
CELL_PARAMETERS angstrom
0.000 4.474 4.474
4.474 0.000 4.474
4.474 4.474 0.000
ATOMIC_POSITIONS angstrom
Sm 1.118 1.118 1.118
Sm 7.829 7.829 7.829
Sc 4.474 2.237 2.237
Sc 2.237 4.474 2.237
Sc 2.237 2.237 4.474
Sc 4.474 4.474 4.474
```

---

## iii
SmSc2: relaxed, PBE. Values from VASP.

Output
For the density, the calculation gives 4617 kg/m3. The space group is No. 109. The calculation puts the size of the total moment at 0.000 μB per cell.

Quantum ESPRESSO input file:
```
&SYSTEM
  ibrav = 0, nat = 12, ntyp = 2
/
ATOMIC_SPECIES
Sm 150.36 Sm.upf
Sc 44.96 Sc.upf
CELL_PARAMETERS angstrom
-3.938 3.938 5.574
3.938 -3.938 5.574
3.938 3.938 -5.574
ATOMIC_POSITIONS angstrom
Sm 0.000 1.706 0.000
Sm -1.706 3.938 2.787
Sm 1.706 3.938 2.787
Sm 0.000 6.170 0.000
Sc 3.938 -1.594 2.564
Sc 2.515 0.000 0.443
Sc 5.360 0.000 0.443
Sc 3.938 2.515 -2.344
Sc 3.938 1.594 2.564
Sc 0.000 1.422 3.230
Sc 2.343 3.938 -0.223
Sc 1.594 0.000 5.351
```

---

## iv
SmSc2: relaxed, PBE. Values from VASP.

Output
For the density, the calculation gives 4853 kg/m3. The space group is No. 139. The calculation puts the size of the total moment at 0.000 μB per cell.

Quantum ESPRESSO input file:
```
&SYSTEM
  ibrav = 0, nat = 3, ntyp = 2
/
ATOMIC_SPECIES
Sm 150.36 Sm.upf
Sc 44.96 Sc.upf
CELL_PARAMETERS angstrom
-1.691 1.691 7.190
1.691 -1.691 7.190
1.691 1.691 -7.190
ATOMIC_POSITIONS angstrom
Sm 0.000 0.000 0.000
Sc 0.000 0.000 4.710
Sc 0.000 0.000 9.670
```

---

Energies, relative to the best one, in meV/atom: i 11; ii 167; iii 398; iv 0.

---

## i
Sm3Sc: relaxed, PBE. Values from VASP.

Output
For the density, the calculation gives 6589 kg/m3. The space group is No. 139. The calculation puts the size of the total moment at 0.000 μB per cell.

Quantum ESPRESSO input file:
```
&SYSTEM
  ibrav = 0, nat = 4, ntyp = 2
/
ATOMIC_SPECIES
Sm 150.36 Sm.upf
Sc 44.96 Sc.upf
CELL_PARAMETERS angstrom
-2.511 2.511 4.957
2.511 -2.511 4.957
2.511 2.511 -4.957
ATOMIC_POSITIONS angstrom
Sm 0.000 0.000 0.000
Sm 2.511 0.000 2.478
Sm 0.000 2.511 2.478
Sc 0.000 0.000 4.957
```

---

## ii
Sm3Sc: relaxed, PBE. Values from VASP.

Output
For the density, the calculation gives 6358 kg/m3. The space group is No. 25. The calculation puts the size of the total moment at 0.001 μB per cell.

Quantum ESPRESSO input file:
```
&SYSTEM
  ibrav = 0, nat = 4, ntyp = 2
/
ATOMIC_SPECIES
Sm 150.36 Sm.upf
Sc 44.96 Sc.upf
CELL_PARAMETERS angstrom
3.411 0.000 0.000
0.000 3.449 0.000
0.000 0.000 11.013
ATOMIC_POSITIONS angstrom
Sm 0.000 0.000 0.000
Sm 0.000 1.725 3.126
Sm 1.705 1.725 8.384
Sc 1.705 0.000 5.514
```

---

## iii
Sm3Sc: relaxed, PBE. Values from VASP.

Output
For the density, the calculation gives 6514 kg/m3. The space group is No. 63. The calculation puts the size of the total moment at 0.001 μB per cell.

Quantum ESPRESSO input file:
```
&SYSTEM
  ibrav = 0, nat = 8, ntyp = 2
/
ATOMIC_SPECIES
Sm 150.36 Sm.upf
Sc 44.96 Sc.upf
CELL_PARAMETERS angstrom
1.759 -12.900 0.000
1.759 12.900 0.000
0.000 0.000 5.573
ATOMIC_POSITIONS angstrom
Sm 1.759 11.787 4.180
Sm 1.759 7.441 1.393
Sm 1.759 2.304 4.180
Sm 1.759 -2.304 1.393
Sm 1.759 -7.441 4.180
Sm 1.759 -11.787 1.393
Sc 1.759 4.067 1.393
Sc 1.759 -4.067 4.180
```

---

Energies, relative to the best one, in meV/atom: i 0; ii 192; iii 17.

---

## i
Sm3Sc: relaxed, PBE. Values from VASP.

Output
For the density, the calculation gives 6506 kg/m3. The space group is No. 194. The calculation puts the size of the total moment at 0.000 μB per cell.

Quantum ESPRESSO input file:
```
&SYSTEM
  ibrav = 0, nat = 8, ntyp = 2
/
ATOMIC_SPECIES
Sm 150.36 Sm.upf
Sc 44.96 Sc.upf
CELL_PARAMETERS angstrom
7.193 0.000 0.000
-3.596 6.229 0.000
0.000 0.000 5.652
ATOMIC_POSITIONS angstrom
Sm 0.000 2.117 1.413
Sm -1.763 5.170 1.413
Sm 1.834 1.059 4.239
Sm 1.763 5.170 1.413
Sm 5.359 1.059 4.239
Sm 3.596 4.112 4.239
Sc 0.000 4.153 4.239
Sc 3.596 2.076 1.413
```

---

## ii
Sm3Sc: relaxed, PBE. Values from VASP.

Output
For the density, the calculation gives 6541 kg/m3. The space group is No. 225. The calculation puts the size of the total moment at 0.004 μB per cell.

Quantum ESPRESSO input file:
```
&SYSTEM
  ibrav = 0, nat = 4, ntyp = 2
/
ATOMIC_SPECIES
Sm 150.36 Sm.upf
Sc 44.96 Sc.upf
CELL_PARAMETERS angstrom
0.000 3.978 3.978
3.978 0.000 3.978
3.978 3.978 0.000
ATOMIC_POSITIONS angstrom
Sm 0.000 0.000 0.000
Sm 1.989 1.989 1.989
Sm 5.967 5.967 5.967
Sc 3.978 3.978 3.978
```

---

## iii
Sm3Sc: relaxed, PBE. Values from VASP.

Output
For the density, the calculation gives 6515 kg/m3. The space group is No. 44. The calculation puts the size of the total moment at 0.005 μB per cell.

Quantum ESPRESSO input file:
```
&SYSTEM
  ibrav = 0, nat = 4, ntyp = 2
/
ATOMIC_SPECIES
Sm 150.36 Sm.upf
Sc 44.96 Sc.upf
CELL_PARAMETERS angstrom
-1.805 5.679 3.084
1.805 -5.679 3.084
1.805 5.679 -3.084
ATOMIC_POSITIONS angstrom
Sm 0.000 0.000 0.000
Sm 1.805 2.922 0.960
Sm 0.000 2.756 4.043
Sc 1.805 0.000 3.044
```

---

Energies, relative to the best one, in meV/atom: i 0; ii 99; iii 11.

---

## i
SmSc5: relaxed, PBE. Values from VASP.

Output
For the density, the calculation gives 3998 kg/m3. The space group is No. 8. The calculation puts the size of the total moment at 0.000 μB per cell.

Quantum ESPRESSO input file:
```
&SYSTEM
  ibrav = 0, nat = 6, ntyp = 2
/
ATOMIC_SPECIES
Sm 150.36 Sm.upf
Sc 44.96 Sc.upf
CELL_PARAMETERS angstrom
6.023 -1.691 0.000
6.023 1.691 0.000
-1.765 0.000 7.651
ATOMIC_POSITIONS angstrom
Sm 0.000 0.000 0.000
Sc -0.425 0.000 4.603
Sc 2.797 0.000 5.003
Sc 4.102 0.000 2.142
Sc 7.438 0.000 2.568
Sc 7.054 0.000 7.121
```

---

## ii
SmSc5: relaxed, PBE. Values from VASP.

Output
For the density, the calculation gives 4033 kg/m3. The space group is No. 11. The calculation puts the size of the total moment at 0.000 μB per cell.

Quantum ESPRESSO input file:
```
&SYSTEM
  ibrav = 0, nat = 12, ntyp = 2
/
ATOMIC_SPECIES
Sm 150.36 Sm.upf
Sc 44.96 Sc.upf
CELL_PARAMETERS angstrom
5.738 0.000 0.000
0.000 9.927 0.000
-1.913 0.000 5.424
ATOMIC_POSITIONS angstrom
Sm 1.431 2.482 0.001
Sm 2.394 7.445 5.423
Sc 0.477 0.806 2.712
Sc 0.477 4.158 2.712
Sc 1.435 5.786 0.001
Sc 0.479 7.445 2.713
Sc 1.435 9.104 0.001
Sc 2.389 0.823 5.423
Sc 3.346 2.482 2.711
Sc 2.389 4.141 5.423
Sc 3.347 5.769 2.711
Sc 3.347 9.121 2.711
```

---

Energies, relative to the best one, in meV/atom: i 0; ii 32.

---

## i
SmSc4: relaxed, PBE. Values from VASP.

Output
For the density, the calculation gives 3848 kg/m3. The space group is No. 14. The calculation puts the size of the total moment at 0.001 μB per cell.

Quantum ESPRESSO input file:
```
&SYSTEM
  ibrav = 0, nat = 10, ntyp = 2
/
ATOMIC_SPECIES
Sm 150.36 Sm.upf
Sc 44.96 Sc.upf
CELL_PARAMETERS angstrom
8.570 0.000 0.000
0.000 4.998 0.000
-0.024 0.000 6.654
ATOMIC_POSITIONS angstrom
Sm 0.000 0.000 0.000
Sm -0.012 2.499 3.327
Sc 2.531 1.246 4.984
Sc 2.544 1.252 1.657
Sc 3.309 3.746 3.320
Sc 3.297 3.751 6.647
Sc 5.249 1.247 0.007
Sc 5.236 1.252 3.334
Sc 6.002 3.745 4.998
Sc 6.014 3.751 1.670
```

---

## ii
SmSc4: relaxed, PBE. Values from VASP.

Output
For the density, the calculation gives 3900 kg/m3. The space group is No. 221. The calculation puts the size of the total moment at 0.000 μB per cell.

Quantum ESPRESSO input file:
```
&SYSTEM
  ibrav = 0, nat = 5, ntyp = 2
/
ATOMIC_SPECIES
Sm 150.36 Sm.upf
Sc 44.96 Sc.upf
CELL_PARAMETERS angstrom
5.200 0.000 0.000
0.000 5.200 0.000
0.000 0.000 5.200
ATOMIC_POSITIONS angstrom
Sm 0.000 0.000 0.000
Sc 0.000 0.000 2.600
Sc 0.000 2.600 0.000
Sc 2.600 0.000 0.000
Sc 2.600 2.600 2.600
```

---

## iii
SmSc4: relaxed, PBE. Values from VASP.

Output
For the density, the calculation gives 4201 kg/m3. The space group is No. 87. The calculation puts the size of the total moment at 0.000 μB per cell.

Quantum ESPRESSO input file:
```
&SYSTEM
  ibrav = 0, nat = 5, ntyp = 2
/
ATOMIC_SPECIES
Sm 150.36 Sm.upf
Sc 44.96 Sc.upf
CELL_PARAMETERS angstrom
-3.708 3.708 2.373
3.708 -3.708 2.373
3.708 3.708 -2.373
ATOMIC_POSITIONS angstrom
Sm 0.000 0.000 0.000
Sc 4.430 1.469 0.000
Sc 1.469 2.986 0.000
Sc 2.239 0.722 2.373
Sc -0.722 2.239 2.373
```

---

Energies, relative to the best one, in meV/atom: i 191; ii 755; iii 0.